DFT (PBE-GGA) results for crystalline TaV2HRu at its relaxed geometry.

Output
Relative energy among the computed polymorphs: 0.336 kcal/mol of atoms
DOS at the Fermi energy: 0.68 states/eV/atom

```
5
Lattice="3.7024 0.0000 0.0000 0.0000 3.7024 0.0000 0.0000 0.0000 4.5186" Properties=species:S:1:pos:R:3 pbc="T T T"
Ta 0.0000 0.0000 0.0000
V 0.0000 1.8512 2.2593
V 1.8512 0.0000 2.2593
H 1.8512 1.8512 2.2593
Ru 1.8512 1.8512 0.0000
```

DFT (PBE-GGA) results for crystalline Ta2HRuW at its relaxed geometry.

Output
Relative energy among the computed polymorphs: 2.113 kcal/mol of atoms
DOS at the Fermi energy: 0.88 states/eV/atom

```
5
Lattice="4.4446 0.0000 0.0000 0.0000 4.4446 0.0000 0.0000 0.0000 3.5024" Properties=species:S:1:pos:R:3 pbc="T T T"
Ta 0.0000 2.2223 0.0000
Ta 2.2223 0.0000 0.0000
H 0.0000 0.0000 0.0000
Ru 2.2223 2.2223 1.7512
W 0.0000 0.0000 1.7512
```

DFT (PBE-GGA) results for crystalline Ta2HRuW at its relaxed geometry.

Output
Relative energy among the computed polymorphs: 0.000 kcal/mol of atoms
DOS at the Fermi energy: 0.66 states/eV/atom

```
5
Lattice="4.4642 0.0000 0.0000 0.0000 4.4642 0.0000 0.0000 0.0000 3.4591" Properties=species:S:1:pos:R:3 pbc="T T T"
Ta 0.0000 2.2321 0.0000
Ta 2.2321 0.0000 0.0000
H 0.0000 0.0000 0.0000
Ru 0.0000 0.0000 1.7296
W 2.2321 2.2321 1.7296
```

DFT (PBE-GGA) results for crystalline TaHRu2W at its relaxed geometry.

Output
Relative energy among the computed polymorphs: 0.000 kcal/mol of atoms
DOS at the Fermi energy: 1.13 states/eV/atom

```
5
Lattice="4.0006 0.0000 0.0000 0.0000 4.0006 0.0000 0.0000 0.0000 3.9911" Properties=species:S:1:pos:R:3 pbc="T T T"
Ta 0.0000 0.0000 0.0000
H 2.0003 2.0003 1.9955
Ru 0.0000 2.0003 1.9955
Ru 2.0003 0.0000 1.9955
W 2.0003 2.0003 0.0000
```

DFT (PBE-GGA) results for crystalline TaHRu2W at its relaxed geometry.

Output
Relative energy among the computed polymorphs: 0.056 kcal/mol of atoms
DOS at the Fermi energy: 1.07 states/eV/atom

```
5
Lattice="3.9884 0.0000 0.0000 0.0000 3.9884 0.0000 0.0000 0.0000 4.0118" Properties=species:S:1:pos:R:3 pbc="T T T"
Ta 0.0000 0.0000 0.0000
H 0.0000 0.0000 2.0059
Ru 0.0000 1.9942 2.0059
Ru 1.9942 0.0000 2.0059
W 1.9942 1.9942 0.0000
```

DFT (PBE-GGA) results for crystalline Zr2TaHRu at its relaxed geometry.

Output
DOS at the Fermi energy: 1.29 states/eV/atom
Energy: -33.6 eV per formula unit

```
5
Lattice="5.2253 0.0000 0.0000 0.0000 5.2253 0.0000 0.0000 0.0000 4.5894" Properties=species:S:1:pos:R:3 pbc="T T T"
Zr 0.0000 2.6126 0.0000
Zr 2.6126 0.0000 0.0000
Ta 0.0000 0.0000 0.0000
H 2.6126 2.6126 2.2947
Ru 0.0000 0.0000 2.2947
```

DFT (PBE-GGA) results for crystalline TbH6Ru2 at its relaxed geometry.

Output
Relative energy among the computed polymorphs: 1.044 kcal/mol of atoms
DOS at the Fermi energy: 0.30 states/eV/atom

```
9
Lattice="4.1041 -1.8123 0.0000 4.1041 1.8123 0.0000 -2.9419 0.0000 5.5611" Properties=species:S:1:pos:R:3 pbc="T T T"
Tb 0.0000 0.0000 0.0000
H -1.8267 0.0000 3.6824
H 1.3593 0.0000 1.9904
H -0.2347 0.0000 5.1535
H 5.5011 0.0000 0.4076
H 3.9071 0.0000 3.5707
H 7.0931 0.0000 1.8787
Ru -0.1629 0.0000 3.4853
Ru 5.4293 0.0000 2.0758
```

DFT (PBE-GGA) results for crystalline TbH3Ru at its relaxed geometry.

Output
DOS at the Fermi energy: 0.16 states/eV/atom
Energy: -25.9 eV per formula unit

```
5
Lattice="2.3543 -2.3555 0.0000 2.3543 2.3555 0.0000 -0.0077 0.0000 4.4011" Properties=species:S:1:pos:R:3 pbc="T T T"
Tb 0.0000 0.0000 0.0000
H 2.3474 0.0000 4.0877
H 3.5278 1.1758 1.6520
H 3.5278 -1.1758 1.6520
Ru 2.3484 0.0000 2.3651
```